DFT (PBE-GGA) results for a relaxed CaPmGaSi crystal.

Summary:
ΔE to the lowest computed polymorph: 204.2 meV/atom
formation energy from raw total energies: -0.41 eV/atom
uncorrected energy: -67.4 eV/cell

The structure in CIF format:
```
data_CaPmGaSi
_chemical_formula_sum 'Ca4 Pm4 Ga4 Si4'
_cell_length_a 7.2542
_cell_length_b 7.2542
_cell_length_c 7.2542
_cell_angle_alpha 90.00
_cell_angle_beta 90.00
_cell_angle_gamma 90.00
_symmetry_space_group_name_H-M 'F -4 3 m'
_symmetry_Int_Tables_number 216
_symmetry_space_group_name_Hall 'F -4 2 3'
loop_
_atom_site_label
_atom_site_type_symbol
_atom_site_fract_x
_atom_site_fract_y
_atom_site_fract_z
Ca1 Ca 0.0000 0.0000 0.0000
Pm1 Pm 0.0000 0.0000 0.5000
Ga1 Ga 0.2500 0.2500 0.2500
Si1 Si 0.2500 0.2500 0.7500
```

=====

DFT (PBE-GGA) results for a relaxed Pr3Nd12Zn crystal.

Summary:
calculated formation energy: 0.015 eV per atom
uncorrected energy: -72.6 eV/cell

The structure in CIF format:
```
data_Pr3Nd12Zn
_chemical_formula_sum 'Pr3 Nd12 Zn1'
_cell_length_a 5.1262
_cell_length_b 5.1262
_cell_length_c 20.6871
_cell_angle_alpha 90.00
_cell_angle_beta 90.00
_cell_angle_gamma 90.00
_symmetry_space_group_name_H-M 'P 4/m m m'
_symmetry_Int_Tables_number 123
_symmetry_space_group_name_Hall '-P 4 2'
loop_
_atom_site_label
_atom_site_type_symbol
_atom_site_fract_x
_atom_site_fract_y
_atom_site_fract_z
Pr1 Pr 0.0000 0.0000 0.0000
Pr2 Pr 0.0000 0.0000 0.2561
Nd1 Nd 0.0000 0.5000 0.1282
Nd2 Nd 0.0000 0.5000 0.3840
Nd3 Nd 0.5000 0.5000 0.0000
Nd4 Nd 0.5000 0.5000 0.2587
Nd5 Nd 0.5000 0.5000 0.5000
Zn1 Zn 0.0000 0.0000 0.5000
```

=====

DFT (PBE-GGA) results for a relaxed TlInHgBi crystal.

Summary:
calculated formation energy: -0.018 eV per atom
uncorrected energy: -37.4 eV/cell

The structure in CIF format:
```
data_TlInHgBi
_chemical_formula_sum 'Tl4 In4 Hg4 Bi4'
_cell_length_a 7.8143
_cell_length_b 7.8143
_cell_length_c 7.8143
_cell_angle_alpha 90.00
_cell_angle_beta 90.00
_cell_angle_gamma 90.00
_symmetry_space_group_name_H-M 'F -4 3 m'
_symmetry_Int_Tables_number 216
_symmetry_space_group_name_Hall 'F -4 2 3'
loop_
_atom_site_label
_atom_site_type_symbol
_atom_site_fract_x
_atom_site_fract_y
_atom_site_fract_z
Tl1 Tl 0.0000 0.0000 0.0000
In1 In 0.0000 0.0000 0.5000
Hg1 Hg 0.2500 0.2500 0.7500
Bi1 Bi 0.2500 0.2500 0.2500
```

=====

DFT (PBE-GGA) results for a relaxed MgTl2Hg crystal.

Summary:
calculated formation energy: -0.020 eV per atom
uncorrected energy: -6.7 eV/cell

The structure in CIF format:
```
data_MgTl2Hg
_chemical_formula_sum 'Mg1 Tl2 Hg1'
_cell_length_a 3.6967
_cell_length_b 4.8342
_cell_length_c 6.2667
_cell_angle_alpha 90.00
_cell_angle_beta 105.45
_cell_angle_gamma 90.00
_symmetry_space_group_name_H-M 'P 1 m 1'
_symmetry_Int_Tables_number 6
_symmetry_space_group_name_Hall 'P -2y'
loop_
_atom_site_label
_atom_site_type_symbol
_atom_site_fract_x
_atom_site_fract_y
_atom_site_fract_z
Mg1 Mg 0.0000 0.0000 0.0000
Tl1 Tl 0.2611 0.0000 0.5219
Tl2 Tl 0.5929 0.5000 0.1928
Hg1 Hg 0.8542 0.5000 0.7267
```

=====

DFT (PBE-GGA) results for a relaxed Al3Tl crystal.

Summary:
ΔE to the lowest computed polymorph: 103.2 meV/atom
calculated formation energy: 0.276 eV per atom
uncorrected energy: -12.5 eV/cell

The structure in CIF format:
```
data_Al3Tl
_chemical_formula_sum 'Al3 Tl1'
_cell_length_a 4.3229
_cell_length_b 4.3229
_cell_length_c 4.3229
_cell_angle_alpha 90.00
_cell_angle_beta 90.00
_cell_angle_gamma 90.00
_symmetry_space_group_name_H-M 'P m -3 m'
_symmetry_Int_Tables_number 221
_symmetry_space_group_name_Hall '-P 4 2 3'
loop_
_atom_site_label
_atom_site_type_symbol
_atom_site_fract_x
_atom_site_fract_y
_atom_site_fract_z
Al1 Al 0.0000 0.0000 0.5000
Tl1 Tl 0.5000 0.5000 0.5000
```

=====

DFT (PBE-GGA) results for a relaxed Li2SbMo crystal.

Summary:
formation energy from raw total energies: -0.17 eV/atom
uncorrected energy: -116.7 eV/cell

The structure in CIF format:
```
data_Li2SbMo
_chemical_formula_sum 'Li12 Sb6 Mo6'
_cell_length_a 4.4782
_cell_length_b 4.4782
_cell_length_c 22.8481
_cell_angle_alpha 90.00
_cell_angle_beta 90.00
_cell_angle_gamma 120.00
_symmetry_space_group_name_H-M 'R 3 m'
_symmetry_Int_Tables_number 160
_symmetry_space_group_name_Hall 'R 3 -2"'
loop_
_atom_site_label
_atom_site_type_symbol
_atom_site_fract_x
_atom_site_fract_y
_atom_site_fract_z
Li1 Li 0.0000 0.0000 0.0000
Li2 Li 0.0000 0.0000 0.1279
Li3 Li 0.0000 0.0000 0.3766
Li4 Li 0.0000 0.0000 0.6246
Sb1 Sb 0.0000 0.0000 0.2512
Sb2 Sb 0.0000 0.0000 0.7490
Mo1 Mo 0.0000 0.0000 0.5048
Mo2 Mo 0.0000 0.0000 0.8705
```

=====

DFT (PBE-GGA) results for a relaxed PrNd4Ho2Er crystal.

Summary:
calculated formation energy: 0.017 eV per atom
uncorrected energy: -37.4 eV/cell

The structure in CIF format:
```
data_PrNd4Ho2Er
_chemical_formula_sum 'Pr1 Nd4 Ho2 Er1'
_cell_length_a 6.2698
_cell_length_b 3.6384
_cell_length_c 11.9601
_cell_angle_alpha 90.00
_cell_angle_beta 100.17
_cell_angle_gamma 90.00
_symmetry_space_group_name_H-M 'P 1 2/m 1'
_symmetry_Int_Tables_number 10
_symmetry_space_group_name_Hall '-P 2y'
loop_
_atom_site_label
_atom_site_type_symbol
_atom_site_fract_x
_atom_site_fract_y
_atom_site_fract_z
Pr1 Pr 0.0000 0.0000 0.0000
Nd1 Nd 0.2499 0.0000 0.7479
Nd2 Nd 0.2520 0.5000 0.2540
Ho1 Ho 0.5000 0.0000 0.5000
Ho2 Ho 0.5000 0.5000 0.0000
Er1 Er 0.0000 0.5000 0.5000
```

=====

DFT (PBE-GGA) results for a relaxed Rb3H crystal.

Summary:
ΔE to the lowest computed polymorph: 0.0 meV/atom
uncorrected energy: -12.4 eV/cell

The structure in CIF format:
```
data_Rb3H
_chemical_formula_sum 'Rb6 H2'
_cell_length_a 4.1014
_cell_length_b 13.5382
_cell_length_c 7.9660
_cell_angle_alpha 90.00
_cell_angle_beta 90.00
_cell_angle_gamma 90.00
_symmetry_space_group_name_H-M 'I m m 2'
_symmetry_Int_Tables_number 44
_symmetry_space_group_name_Hall 'I 2 -2'
loop_
_atom_site_label
_atom_site_type_symbol
_atom_site_fract_x
_atom_site_fract_y
_atom_site_fract_z
Rb1 Rb 0.0000 0.0000 0.0000
Rb2 Rb 0.0000 0.1501 0.4391
H1 H 0.0000 0.5000 0.7909
```

=====

DFT (PBE-GGA) results for a relaxed Li3Ho3AlTe8 crystal.

Summary:
formation energy from raw total energies: -1.04 eV/atom
uncorrected energy: -191.7 eV/cell

The structure in CIF format:
```
data_Li3Ho3AlTe8
_chemical_formula_sum 'Li9 Ho9 Al3 Te24'
_cell_length_a 8.5269
_cell_length_b 8.5269
_cell_length_c 21.0911
_cell_angle_alpha 90.00
_cell_angle_beta 90.00
_cell_angle_gamma 120.00
_symmetry_space_group_name_H-M 'R -3 m'
_symmetry_Int_Tables_number 166
_symmetry_space_group_name_Hall '-R 3 2"'
loop_
_atom_site_label
_atom_site_type_symbol
_atom_site_fract_x
_atom_site_fract_y
_atom_site_fract_z
Li1 Li 0.0000 0.5000 0.0000
Ho1 Ho 0.0000 0.5000 0.5000
Al1 Al 0.0000 0.0000 0.5000
Te1 Te 0.0000 0.0000 0.2525
Te2 Te 0.0208 0.5104 0.2475
```

=====

DFT (PBE-GGA) results for a relaxed KBaNb2V crystal.

Summary:
calculated formation energy: 2.720 eV per atom
uncorrected energy: -18.7 eV/cell

The structure in CIF format:
```
data_KBaNb2V
_chemical_formula_sum 'K1 Ba1 Nb2 V1'
_cell_length_a 5.2244
_cell_length_b 5.2244
_cell_length_c 5.6224
_cell_angle_alpha 90.00
_cell_angle_beta 90.00
_cell_angle_gamma 90.00
_symmetry_space_group_name_H-M 'P 4/m m m'
_symmetry_Int_Tables_number 123
_symmetry_space_group_name_Hall '-P 4 2'
loop_
_atom_site_label
_atom_site_type_symbol
_atom_site_fract_x
_atom_site_fract_y
_atom_site_fract_z
K1 K 0.0000 0.0000 0.0000
Ba1 Ba 0.0000 0.0000 0.5000
Nb1 Nb 0.0000 0.5000 0.5000
V1 V 0.5000 0.5000 0.0000
```

=====

DFT (PBE-GGA) results for a relaxed PmPr5Ho3 crystal.

Summary:
ΔE to the lowest computed polymorph: 0.0 meV/atom
calculated formation energy: 0.271 eV per atom
uncorrected energy: -159.8 eV/cell

The structure in CIF format:
```
data_PmPr5Ho3
_chemical_formula_sum 'Pm4 Pr20 Ho12'
_cell_length_a 20.4017
_cell_length_b 6.3141
_cell_length_c 11.6819
_cell_angle_alpha 90.00
_cell_angle_beta 122.06
_cell_angle_gamma 90.00
_symmetry_space_group_name_H-M 'C 1 2/c 1'
_symmetry_Int_Tables_number 15
_symmetry_space_group_name_Hall '-C 2yc'
loop_
_atom_site_label
_atom_site_type_symbol
_atom_site_fract_x
_atom_site_fract_y
_atom_site_fract_z
Pm1 Pm 0.0000 0.1157 0.2500
Pr1 Pr 0.0000 0.4011 0.7500
Pr2 Pr 0.1411 0.3192 0.1581
Pr3 Pr 0.1794 0.1861 0.8350
Ho1 Ho 0.0000 0.0000 0.0000
Ho2 Ho 0.1761 0.2262 0.5274
```

=====

DFT (PBE-GGA) results for a relaxed Hf2TiIn3 crystal.

Summary:
ΔE to the lowest computed polymorph: 0.0 meV/atom
calculated formation energy: -0.151 eV per atom
uncorrected energy: -73.8 eV/cell

The structure in CIF format:
```
data_Hf2TiIn3
_chemical_formula_sum 'Hf4 Ti2 In6'
_cell_length_a 4.3539
_cell_length_b 12.9847
_cell_length_c 4.4256
_cell_angle_alpha 90.00
_cell_angle_beta 90.00
_cell_angle_gamma 90.00
_symmetry_space_group_name_H-M 'C m m m'
_symmetry_Int_Tables_number 65
_symmetry_space_group_name_Hall '-C 2 2'
loop_
_atom_site_label
_atom_site_type_symbol
_atom_site_fract_x
_atom_site_fract_y
_atom_site_fract_z
Hf1 Hf 0.0000 0.1639 0.0000
Ti1 Ti 0.0000 0.5000 0.0000
In1 In 0.0000 0.0000 0.5000
In2 In 0.0000 0.3357 0.5000
```